Compound: Li2CoO2
Source: the Alexandria database
Functional: GGA-PBEsol
Structure: relaxed

abc: 3.0642 3.0642 5.1070
angles: 90.06 90.06 59.80
Fractional coordinates of all 5 atoms:
Li  0.1663  0.1663  0.1431
Li  0.8337  0.8337  0.8569
Co  0.5000  0.5000  0.5000
O  0.1664  0.1664  0.7377
O  0.8336  0.8336  0.2623

Values from the calculation:
Volume   8.29 Å³/atom
Formation energy (no corrections)   -1320 meV/atom
Symmetry   C2/m (12)